Record 1
Entry from the Alexandria database: a relaxed structure of NaAc5Te6 (PBE).

Computed properties:
Space-group type: C2/m

```
NaAc5Te6
1.0
-0.602 8.042 -1.357
-7.821 1.977 -1.265
-4.753 2.096 6.307
Na Ac Te
1 5 6
Direct
0.000 0.000 0.000
0.500 0.168 0.664
0.000 0.335 0.331
0.500 0.500 0.000
0.000 0.665 0.669
0.500 0.832 0.336
0.755 0.081 0.326
0.245 0.593 0.326
0.245 0.243 0.000
0.755 0.757 0.000
0.755 0.407 0.674
0.245 0.919 0.674
```

=====

Record 2
Entry from the Alexandria database: a relaxed structure of NaAc3Te4 (PBE).

Computed properties:
Space-group type: Cmmm

```
NaAc3Te4
1.0
-4.348 -0.634 1.686
2.723 -6.087 4.733
0.557 7.059 4.090
Na Ac Te
1 3 4
Direct
0.500 0.000 0.000
0.000 0.000 0.500
0.500 0.500 0.500
0.000 0.500 0.000
0.000 0.245 0.245
0.500 0.754 0.246
0.000 0.755 0.755
0.500 0.246 0.754
```

=====

Record 3
Entry from the Alexandria database: a relaxed structure of NaAc2Te4 (PBE).

Computed properties:
Space-group type: P2_1/m

```
NaAc2Te4
1.0
8.240 0.000 0.045
0.000 6.432 0.000
-2.981 0.000 9.286
Na Ac Te
2 4 8
Direct
0.218 0.750 0.178
0.782 0.250 0.822
0.760 0.750 0.072
0.240 0.250 0.928
0.239 0.250 0.443
0.761 0.750 0.557
0.525 0.489 0.252
0.048 0.750 0.875
0.952 0.250 0.125
0.525 0.011 0.252
0.935 0.250 0.595
0.475 0.989 0.748
0.475 0.511 0.748
0.065 0.750 0.405
```

=====

Record 4
Entry from the Alexandria database: a relaxed structure of NaAcTe (PBE).

Computed properties:
Space-group type: P-6m2

```
NaAcTe
1.0
-3.966 1.969 1.076
-2.238 -5.036 0.965
2.510 2.788 4.151
Na Ac Te
1 1 1
Direct
0.666 0.667 0.333
0.167 0.333 0.667
0.167 0.000 0.000
```

=====

Record 5
Entry from the Alexandria database: a relaxed structure of NaAc3Te4 (PBE).

Computed properties:
Space-group type: I4/mmm

```
NaAc3Te4
1.0
6.097 0.005 -2.702
-1.204 5.977 -2.702
-0.025 -0.030 8.172
Na Ac Te
1 3 4
Direct
0.000 0.000 0.000
0.500 0.500 0.000
0.750 0.250 0.500
0.250 0.750 0.500
0.000 0.500 0.000
0.500 0.000 0.000
0.245 0.245 0.490
0.755 0.755 0.510
```

=====

Record 6
Entry from the Alexandria database: a relaxed structure of NaAc5Te8 (PBE).

Computed properties:
Space-group type: I-4

```
NaAc5Te8
1.0
8.648 0.008 -0.013
-2.919 8.140 0.013
-2.810 -4.112 7.069
Na Ac Te
1 5 8
Direct
0.250 0.500 0.750
0.006 0.375 0.126
0.874 0.880 0.248
0.752 0.625 0.632
0.500 0.000 0.500
0.368 0.120 0.994
0.129 0.749 0.029
0.971 0.101 0.720
0.766 0.246 0.365
0.635 0.400 0.881
0.481 0.600 0.234
0.619 0.899 0.871
0.280 0.251 0.381
0.119 0.754 0.519
```

=====

Record 7
Entry from the Alexandria database: a relaxed structure of NaAcTe (PBE).

Computed properties:
Space-group type: P2_1/c

```
NaAcTe
1.0
-4.977 2.117 4.396
-5.312 -4.202 -3.991
2.798 -5.804 5.963
Na Ac Te
4 4 4
Direct
0.249 0.491 0.460
0.749 0.009 0.540
0.751 0.509 0.540
0.251 0.991 0.460
0.234 0.125 0.984
0.734 0.375 0.016
0.766 0.875 0.016
0.266 0.625 0.984
0.042 0.796 0.695
0.542 0.704 0.305
0.958 0.204 0.305
0.458 0.296 0.695
```

=====

Record 8
Entry from the Alexandria database: a relaxed structure of NaAc2Te (PBE).

Computed properties:
Space-group type: P4/mmm

```
NaAc2Te
1.0
-2.584 2.603 -2.134
-3.361 -1.837 1.828
0.375 5.316 6.032
Na Ac Te
1 2 1
Direct
0.500 0.500 0.500
0.000 0.000 0.764
0.000 0.000 0.236
0.500 0.500 0.000
```

=====

Quick rundown of energy relative to the elements, uncorrected, same order as above: -1.463, -1.447, -1.262, -0.530, -1.452, -1.567, -0.751, -0.502 eV per atom